[1]
# TlBiMo2 | Alexandria | GGA-PBE | optimized geometry
data_TlBiMo2
_chemical_formula_sum 'Tl4 Bi4 Mo8'
_cell_length_a 6.8044
_cell_length_b 6.8044
_cell_length_c 6.8044
_cell_angle_alpha 90.00
_cell_angle_beta 90.00
_cell_angle_gamma 90.00
_space_group_name_H-M_alt 'F m -3 m'
_space_group_IT_number 225
_space_group_name_Hall '-F 4 2 3'
loop_
_atom_site_label
_atom_site_type_symbol
_atom_site_fract_x
_atom_site_fract_y
_atom_site_fract_z
Tl1 Tl 0.0000 0.0000 0.0000
Bi1 Bi 0.0000 0.0000 0.5000
Mo1 Mo 0.2500 0.2500 0.2500
# energy above the most stable polymorph in this dataset: 0.0 meV/atom
# D(E_F): 21.86 states/eV/cell
# ΔE_f: 0.88 eV/atom


[2]
# YTl2BiMo | Alexandria | GGA-PBE | optimized geometry
data_YTl2BiMo
_chemical_formula_sum 'Y1 Tl2 Bi1 Mo1'
_cell_length_a 5.3703
_cell_length_b 5.3703
_cell_length_c 5.3479
_cell_angle_alpha 90.00
_cell_angle_beta 90.00
_cell_angle_gamma 90.00
_space_group_name_H-M_alt 'P 4/m m m'
_space_group_IT_number 123
_space_group_name_Hall '-P 4 2'
loop_
_atom_site_label
_atom_site_type_symbol
_atom_site_fract_x
_atom_site_fract_y
_atom_site_fract_z
Y1 Y 0.0000 0.0000 0.0000
Tl1 Tl 0.0000 0.5000 0.5000
Bi1 Bi 0.5000 0.5000 0.0000
Mo1 Mo 0.5000 0.5000 0.5000
# D(E_F): 4.08 states/eV/cell
# ΔE_f: 0.53 eV/atom


[3]
# Tl2ZnBiMo | Alexandria | GGA-PBE | optimized geometry
data_Tl2ZnBiMo
_chemical_formula_sum 'Tl2 Zn1 Bi1 Mo1'
_cell_length_a 6.1847
_cell_length_b 6.1847
_cell_length_c 5.2278
_cell_angle_alpha 90.00
_cell_angle_beta 90.00
_cell_angle_gamma 90.00
_space_group_name_H-M_alt 'P 4/m m m'
_space_group_IT_number 123
_space_group_name_Hall '-P 4 2'
loop_
_atom_site_label
_atom_site_type_symbol
_atom_site_fract_x
_atom_site_fract_y
_atom_site_fract_z
Tl1 Tl 0.0000 0.5000 0.0000
Zn1 Zn 0.0000 0.0000 0.5000
Bi1 Bi 0.0000 0.0000 0.0000
Mo1 Mo 0.5000 0.5000 0.5000
# D(E_F): 3.32 states/eV/cell
# ΔE_f: 1.39 eV/atom


[4]
# Tm8Bi2Mo | Alexandria | GGA-PBE | optimized geometry
data_Tm8Bi2Mo
_chemical_formula_sum 'Tm16 Bi4 Mo2'
_cell_length_a 5.4983
_cell_length_b 7.1039
_cell_length_c 15.6831
_cell_angle_alpha 90.00
_cell_angle_beta 90.00
_cell_angle_gamma 90.00
_space_group_name_H-M_alt 'I m m m'
_space_group_IT_number 71
_space_group_name_Hall '-I 2 2'
loop_
_atom_site_label
_atom_site_type_symbol
_atom_site_fract_x
_atom_site_fract_y
_atom_site_fract_z
Tm1 Tm 0.0000 0.0000 0.1833
Tm2 Tm 0.0000 0.2337 0.3762
Tm3 Tm 0.0000 0.2399 0.0000
Bi1 Bi 0.0000 0.5000 0.1877
Mo1 Mo 0.0000 0.5000 0.5000
# D(E_F): 22.56 states/eV/cell
# ΔE_f: -0.17 eV/atom


[5]
# V3BiMo | Alexandria | GGA-PBE | optimized geometry
data_V3BiMo
_chemical_formula_sum 'V3 Bi1 Mo1'
_cell_length_a 4.6393
_cell_length_b 4.6393
_cell_length_c 4.6393
_cell_angle_alpha 90.00
_cell_angle_beta 90.00
_cell_angle_gamma 90.00
_space_group_name_H-M_alt 'P m -3 m'
_space_group_IT_number 221
_space_group_name_Hall '-P 4 2 3'
loop_
_atom_site_label
_atom_site_type_symbol
_atom_site_fract_x
_atom_site_fract_y
_atom_site_fract_z
V1 V 0.0000 0.0000 0.5000
Bi1 Bi 0.5000 0.5000 0.5000
Mo1 Mo 0.0000 0.0000 0.0000
# energy above the most stable polymorph in this dataset: 0.0 meV/atom
# D(E_F): 4.94 states/eV/cell
# ΔE_f: 1.08 eV/atom


[6]
# VBi3Mo | Alexandria | GGA-PBE | optimized geometry
data_VBi3Mo
_chemical_formula_sum 'V1 Bi3 Mo1'
_cell_length_a 5.3849
_cell_length_b 5.3849
_cell_length_c 5.3849
_cell_angle_alpha 90.00
_cell_angle_beta 90.00
_cell_angle_gamma 90.00
_space_group_name_H-M_alt 'P m -3 m'
_space_group_IT_number 221
_space_group_name_Hall '-P 4 2 3'
loop_
_atom_site_label
_atom_site_type_symbol
_atom_site_fract_x
_atom_site_fract_y
_atom_site_fract_z
V1 V 0.0000 0.0000 0.0000
Bi1 Bi 0.0000 0.5000 0.5000
Mo1 Mo 0.5000 0.5000 0.5000
# energy above the most stable polymorph in this dataset: 0.0 meV/atom
# D(E_F): 10.08 states/eV/cell
# ΔE_f: 1.05 eV/atom


[7]
# VBiMo3 | Alexandria | GGA-PBE | optimized geometry
data_VBiMo3
_chemical_formula_sum 'V1 Bi1 Mo3'
_cell_length_a 4.6306
_cell_length_b 4.6306
_cell_length_c 4.6306
_cell_angle_alpha 90.00
_cell_angle_beta 90.00
_cell_angle_gamma 90.00
_space_group_name_H-M_alt 'P m -3 m'
_space_group_IT_number 221
_space_group_name_Hall '-P 4 2 3'
loop_
_atom_site_label
_atom_site_type_symbol
_atom_site_fract_x
_atom_site_fract_y
_atom_site_fract_z
V1 V 0.0000 0.0000 0.0000
Bi1 Bi 0.5000 0.5000 0.5000
Mo1 Mo 0.0000 0.0000 0.5000
# energy above the most stable polymorph in this dataset: 0.0 meV/atom
# D(E_F): 6.25 states/eV/cell
# ΔE_f: 1.21 eV/atom


[8]
# VBi2Mo | Alexandria | GGA-PBE | optimized geometry
data_VBi2Mo
_chemical_formula_sum 'V4 Bi8 Mo4'
_cell_length_a 6.9146
_cell_length_b 6.9146
_cell_length_c 6.9146
_cell_angle_alpha 90.00
_cell_angle_beta 90.00
_cell_angle_gamma 90.00
_space_group_name_H-M_alt 'F m -3 m'
_space_group_IT_number 225
_space_group_name_Hall '-F 4 2 3'
loop_
_atom_site_label
_atom_site_type_symbol
_atom_site_fract_x
_atom_site_fract_y
_atom_site_fract_z
V1 V 0.0000 0.0000 0.0000
Bi1 Bi 0.2500 0.2500 0.2500
Mo1 Mo 0.0000 0.0000 0.5000
# energy above the most stable polymorph in this dataset: 0.0 meV/atom
# D(E_F): 18.72 states/eV/cell
# ΔE_f: 0.57 eV/atom


[9]
# V2BiMo4 | Alexandria | GGA-PBE | optimized geometry
data_V2BiMo4
_chemical_formula_sum 'V4 Bi2 Mo8'
_cell_length_a 4.9862
_cell_length_b 4.9862
_cell_length_c 12.3434
_cell_angle_alpha 90.00
_cell_angle_beta 90.00
_cell_angle_gamma 90.00
_space_group_name_H-M_alt 'I 4/m m m'
_space_group_IT_number 139
_space_group_name_Hall '-I 4 2'
loop_
_atom_site_label
_atom_site_type_symbol
_atom_site_fract_x
_atom_site_fract_y
_atom_site_fract_z
V1 V 0.0000 0.0000 0.1087
Bi1 Bi 0.0000 0.0000 0.5000
Mo1 Mo 0.0000 0.0000 0.2780
Mo2 Mo 0.0000 0.5000 0.0000
# D(E_F): 17.61 states/eV/cell
# ΔE_f: 1.91 eV/atom


[10]
# VBi2Mo | Alexandria | GGA-PBE | optimized geometry
data_VBi2Mo
_chemical_formula_sum 'V4 Bi8 Mo4'
_cell_length_a 6.4466
_cell_length_b 6.4466
_cell_length_c 12.6501
_cell_angle_alpha 90.00
_cell_angle_beta 90.00
_cell_angle_gamma 90.00
_space_group_name_H-M_alt 'I -4 2 d'
_space_group_IT_number 122
_space_group_name_Hall 'I -4 2bw'
loop_
_atom_site_label
_atom_site_type_symbol
_atom_site_fract_x
_atom_site_fract_y
_atom_site_fract_z
V1 V 0.0000 0.0000 0.0000
Bi1 Bi 0.2474 0.2500 0.6250
Mo1 Mo 0.0000 0.0000 0.5000
# energy above the most stable polymorph in this dataset: 565.8 meV/atom
# D(E_F): 9.65 states/eV/cell
# ΔE_f: 1.14 eV/atom


[11]
# VZnBiMo2 | Alexandria | GGA-PBE | optimized geometry
data_VZnBiMo2
_chemical_formula_sum 'V1 Zn1 Bi1 Mo2'
_cell_length_a 4.5770
_cell_length_b 4.5770
_cell_length_c 4.8584
_cell_angle_alpha 90.00
_cell_angle_beta 90.00
_cell_angle_gamma 90.00
_space_group_name_H-M_alt 'P 4/m m m'
_space_group_IT_number 123
_space_group_name_Hall '-P 4 2'
loop_
_atom_site_label
_atom_site_type_symbol
_atom_site_fract_x
_atom_site_fract_y
_atom_site_fract_z
V1 V 0.0000 0.0000 0.0000
Zn1 Zn 0.0000 0.0000 0.5000
Bi1 Bi 0.5000 0.5000 0.5000
Mo1 Mo 0.0000 0.5000 0.0000
# D(E_F): 5.06 states/eV/cell
# ΔE_f: 1.08 eV/atom


[12]
# BiMoW3 | Alexandria | GGA-PBE | optimized geometry
data_BiMoW3
_chemical_formula_sum 'Bi1 Mo1 W3'
_cell_length_a 4.8256
_cell_length_b 4.8256
_cell_length_c 4.8256
_cell_angle_alpha 90.00
_cell_angle_beta 90.00
_cell_angle_gamma 90.00
_space_group_name_H-M_alt 'P m -3 m'
_space_group_IT_number 221
_space_group_name_Hall '-P 4 2 3'
loop_
_atom_site_label
_atom_site_type_symbol
_atom_site_fract_x
_atom_site_fract_y
_atom_site_fract_z
Bi1 Bi 0.0000 0.0000 0.0000
Mo1 Mo 0.5000 0.5000 0.5000
W1 W 0.0000 0.5000 0.5000
# energy above the most stable polymorph in this dataset: 0.0 meV/atom
# D(E_F): 8.18 states/eV/cell
# ΔE_f: 1.97 eV/atom


What is the D(E_F) in the twelfth record? 8.18 states/eV/cell